VASP calculation (GGA-PBE) on crystalline Ca5AcCd4 at its relaxed geometry.

a = 3.8449 Å, b = 3.8449 Å, c = 21.1512 Å
α = 90.00°, β = 90.00°, γ = 90.00°
Space group P4/mmm (No. 123)
One atom of each set of equivalent atoms:
Ca1 0.0000 0.0000 0.0000
Ca2 0.0000 0.0000 0.1816
Ca3 0.0000 0.0000 0.3620
Ac1 0.5000 0.5000 0.5000
Cd1 0.5000 0.5000 0.0899
Cd2 0.5000 0.5000 0.2732

Properties
Uncorrected energy ... -2.040 eV per atom



VASP calculation (GGA-PBE) on crystalline Mg5Be at its relaxed geometry.

a = 8.0574 Å, b = 8.0574 Å, c = 8.0574 Å
α = 90.00°, β = 90.00°, γ = 90.00°
Space group F-43m (No. 216)
One atom of each set of equivalent atoms:
Mg1 0.0000 0.0000 0.0000
Mg2 0.1248 0.1248 0.3752
Be1 0.2500 0.2500 0.7500

Properties
Excess energy over the best structure of this formula in the dataset ... 0.281 eV/atom
Uncorrected energy ... -1.536 eV per atom



VASP calculation (GGA-PBE) on crystalline Mg2TiCdTc at its relaxed geometry.

a = 5.1417 Å, b = 5.1417 Å, c = 4.4681 Å
α = 90.00°, β = 90.00°, γ = 90.00°
Space group P4/mmm (No. 123)
One atom of each set of equivalent atoms:
Mg1 0.0000 0.5000 0.0000
Ti1 0.0000 0.0000 0.5000
Cd1 0.5000 0.5000 0.5000
Tc1 0.0000 0.0000 0.0000

Properties
Uncorrected energy ... -3.998 eV per atom



VASP calculation (GGA-PBE) on crystalline ZnInBiS4 at its relaxed geometry.

a = 7.7317 Å, b = 7.8368 Å, c = 11.0301 Å
α = 90.00°, β = 90.00°, γ = 90.00°
Space group Imma (No. 74)
One atom of each set of equivalent atoms:
Zn1 0.0000 0.2500 0.1278
In1 0.0000 0.0000 0.5000
Bi1 0.2500 0.2500 0.7500
S1 0.0000 0.0073 0.2586
S2 0.2376 0.2500 0.4954

Properties
Formation energy (no corrections) ... -0.49 eV per atom
Uncorrected energy ... -3.980 eV per atom



VASP calculation (GGA-PBE) on crystalline Dy3ErHg4 at its relaxed geometry.

a = 14.1425 Å, b = 5.3080 Å, c = 5.9759 Å
α = 90.00°, β = 107.75°, γ = 90.00°
Space group C2/m (No. 12)
One atom of each set of equivalent atoms:
Dy1 0.0000 0.0000 0.0000
Dy2 0.1676 0.0000 0.5801
Er1 0.0000 0.5000 0.5000
Hg1 0.1116 0.5000 0.1491
Hg2 0.2396 0.5000 0.8293

Properties
Excess energy over the best structure of this formula in the dataset ... 0.196 eV/atom
Uncorrected energy ... -2.730 eV per atom



VASP calculation (GGA-PBE) on crystalline K2BiPt2 at its relaxed geometry.

a = 7.1415 Å, b = 7.1415 Å, c = 5.4442 Å
α = 90.00°, β = 90.00°, γ = 90.00°
Space group P4/mbm (No. 127)
One atom of each set of equivalent atoms:
K1 0.1724 0.3276 0.0000
Bi1 0.0000 0.0000 0.5000
Pt1 0.1292 0.6292 0.5000

Properties
Excess energy over the best structure of this formula in the dataset ... 0.134 eV/atom
Uncorrected energy ... -3.780 eV per atom



VASP calculation (GGA-PBE) on crystalline Cr6AsC at its relaxed geometry.

a = 4.4609 Å, b = 4.4893 Å, c = 4.9430 Å
α = 98.15°, β = 104.30°, γ = 101.54°
Space group P-1 (No. 2)
One atom of each set of equivalent atoms:
Cr1 0.0930 0.2541 0.1998
Cr2 0.2316 0.8184 0.4321
Cr3 0.2927 0.3873 0.7716
As1 0.5000 0.0000 0.0000
C1 0.5000 0.5000 0.5000

Properties
Uncorrected energy ... -8.784 eV per atom



VASP calculation (GGA-PBE) on crystalline YTh2Pt at its relaxed geometry.

a = 3.7620 Å, b = 11.7447 Å, c = 10.3297 Å
α = 90.00°, β = 90.00°, γ = 90.00°
Space group Cmcm (No. 63)
One atom of each set of equivalent atoms:
Y1 0.0000 0.0848 0.2500
Th1 0.0000 0.3647 0.0528
Pt1 0.0000 0.2168 0.7500

Properties
Excess energy over the best structure of this formula in the dataset ... 0.000 eV/atom
Uncorrected energy ... -7.454 eV per atom



VASP calculation (GGA-PBE) on crystalline BaSbPt2 at its relaxed geometry.

a = 5.0807 Å, b = 5.0807 Å, c = 3.6789 Å
α = 90.00°, β = 90.00°, γ = 90.00°
Space group P4/mmm (No. 123)
One atom of each set of equivalent atoms:
Ba1 0.0000 0.0000 0.0000
Sb1 0.5000 0.5000 0.0000
Pt1 0.0000 0.5000 0.5000

Properties
Formation energy (no corrections) ... -0.26 eV per atom
Uncorrected energy ... -4.792 eV per atom



VASP calculation (GGA-PBE) on crystalline Sm4Dy3Tl at its relaxed geometry.

a = 11.2847 Å, b = 7.1386 Å, c = 6.2295 Å
α = 90.00°, β = 90.00°, γ = 90.00°
Space group Pmn2_1 (No. 31)
One atom of each set of equivalent atoms:
Sm1 0.0000 0.1290 0.0000
Sm2 0.0000 0.8682 0.4519
Sm3 0.2314 0.8684 0.8182
Dy1 0.0000 0.3704 0.4736
Dy2 0.2446 0.3838 0.8006
Tl1 0.0000 0.6100 0.9803

Properties
Uncorrected energy ... -4.442 eV per atom



VASP calculation (GGA-PBE) on crystalline Cd5CuAg at its relaxed geometry.

a = 10.3379 Å, b = 10.6924 Å, c = 5.3061 Å
α = 90.00°, β = 106.84°, γ = 90.00°
Space group C2/c (No. 15)
One atom of each set of equivalent atoms:
Cd1 0.0000 0.2179 0.2500
Cd2 0.1462 0.3123 0.8119
Cd3 0.2447 0.4206 0.3822
Cu1 0.0000 0.5000 0.0000
Ag1 0.0000 0.0608 0.7500

Properties
Uncorrected energy ... -1.642 eV per atom



VASP calculation (GGA-PBE) on crystalline K2CoSi at its relaxed geometry.

a = 3.4260 Å, b = 5.3082 Å, c = 5.4505 Å
α = 90.00°, β = 90.00°, γ = 90.00°
Space group Pmmm (No. 47)
One atom of each set of equivalent atoms:
K1 0.0000 0.0000 0.2495
Co1 0.5000 0.5000 0.0000
Si1 0.5000 0.5000 0.5000

Properties
Formation energy (no corrections) ... 0.91 eV per atom
Uncorrected energy ... -2.772 eV per atom



VASP calculation (GGA-PBE) on crystalline InCoSb2 at its relaxed geometry.

a = 3.1956 Å, b = 4.5042 Å, c = 12.4946 Å
α = 90.00°, β = 90.00°, γ = 90.00°
Space group Immm (No. 71)
One atom of each set of equivalent atoms:
In1 0.0000 0.0000 0.0000
Co1 0.0000 0.0000 0.5000
Sb1 0.0000 0.5000 0.1697

Properties
Formation energy (no corrections) ... 0.08 eV per atom
Uncorrected energy ... -4.445 eV per atom



VASP calculation (GGA-PBE) on crystalline ZrI2F at its relaxed geometry.

a = 7.5615 Å, b = 7.5615 Å, c = 7.9876 Å
α = 90.00°, β = 90.00°, γ = 90.00°
Space group I-42d (No. 122)
One atom of each set of equivalent atoms:
Zr1 0.0000 0.0000 0.0000
I1 0.2442 0.2500 0.1250
F1 0.0000 0.0000 0.5000

Properties
Formation energy (no corrections) ... -0.70 eV per atom
Excess energy over the best structure of this formula in the dataset ... 0.160 eV/atom
Uncorrected energy ... -4.082 eV per atom



VASP calculation (GGA-PBE) on crystalline Li2Si2Bi at its relaxed geometry.

a = 4.1532 Å, b = 4.1532 Å, c = 11.4011 Å
α = 90.00°, β = 90.00°, γ = 90.00°
Space group I4/mmm (No. 139)
One atom of each set of equivalent atoms:
Li1 0.0000 0.5000 0.2500
Si1 0.0000 0.0000 0.1013
Bi1 0.0000 0.0000 0.5000

Properties
Formation energy (no corrections) ... 0.03 eV per atom
Excess energy over the best structure of this formula in the dataset ... 0.023 eV/atom
Uncorrected energy ... -3.681 eV per atom



VASP calculation (GGA-PBE) on crystalline HfZrSeN2 at its relaxed geometry.

a = 4.1154 Å, b = 4.1154 Å, c = 5.1763 Å
α = 90.00°, β = 90.00°, γ = 90.00°
Space group P4/mmm (No. 123)
One atom of each set of equivalent atoms:
Hf1 0.0000 0.0000 0.0000
Zr1 0.5000 0.5000 0.5000
Se1 0.0000 0.0000 0.5000
N1 0.0000 0.5000 0.0000

Properties
Formation energy (no corrections) ... -0.18 eV per atom
Excess energy over the best structure of this formula in the dataset ... 0.000 eV/atom
Uncorrected energy ... -7.903 eV per atom



VASP calculation (GGA-PBE) on crystalline TbSc2Ru9 at its relaxed geometry.

a = 5.2047 Å, b = 5.2047 Å, c = 25.6952 Å
α = 90.00°, β = 90.00°, γ = 120.00°
Space group R-3m (No. 166, hexagonal axes)
One atom of each set of equivalent atoms:
Tb1 0.0000 0.0000 0.0000
Sc1 0.0000 0.0000 0.1398
Ru1 0.0000 0.0000 0.3385
Ru2 0.0000 0.0000 0.5000
Ru3 0.0121 0.5061 0.9149

Properties
Uncorrected energy ... -8.551 eV per atom



VASP calculation (GGA-PBE) on crystalline EuCu2Ag at its relaxed geometry.

a = 6.7631 Å, b = 6.7631 Å, c = 6.7631 Å
α = 90.00°, β = 90.00°, γ = 90.00°
Space group Fm-3m (No. 225)
One atom of each set of equivalent atoms:
Eu1 0.0000 0.0000 0.0000
Cu1 0.2500 0.2500 0.2500
Ag1 0.0000 0.0000 0.5000

Properties
Excess energy over the best structure of this formula in the dataset ... 0.109 eV/atom
Uncorrected energy ... -5.299 eV per atom



VASP calculation (GGA-PBE) on crystalline LaPbAu at its relaxed geometry.

a = 3.9474 Å, b = 4.8977 Å, c = 8.7392 Å
α = 90.00°, β = 91.90°, γ = 90.00°
Space group P2_1/m (No. 11)
One atom of each set of equivalent atoms:
La1 0.0266 0.2500 0.1985
Pb1 0.3212 0.2500 0.5758
Au1 0.4969 0.7500 0.0892

Properties
Uncorrected energy ... -4.607 eV per atom



VASP calculation (GGA-PBE) on crystalline FeRhW at its relaxed geometry.

a = 5.7775 Å, b = 5.7775 Å, c = 5.7775 Å
α = 90.00°, β = 90.00°, γ = 90.00°
Space group F-43m (No. 216)
One atom of each set of equivalent atoms:
Fe1 0.0000 0.0000 0.0000
Rh1 0.0000 0.0000 0.5000
W1 0.2500 0.2500 0.2500

Properties
Excess energy over the best structure of this formula in the dataset ... 0.513 eV/atom
Uncorrected energy ... -9.090 eV per atom



VASP calculation (GGA-PBE) on crystalline GeOsRh2N at its relaxed geometry.

a = 4.7454 Å, b = 4.7454 Å, c = 4.7752 Å
α = 90.00°, β = 90.00°, γ = 90.00°
Space group P4/mmm (No. 123)
One atom of each set of equivalent atoms:
Ge1 0.0000 0.0000 0.0000
Os1 0.0000 0.0000 0.5000
Rh1 0.0000 0.5000 0.5000
N1 0.5000 0.5000 0.0000

Properties
Formation energy (no corrections) ... 2.09 eV per atom
Uncorrected energy ... -5.685 eV per atom



VASP calculation (GGA-PBE) on crystalline Li4CdSe3 at its relaxed geometry.

a = 13.8131 Å, b = 6.6815 Å, c = 8.7329 Å
α = 90.00°, β = 114.48°, γ = 90.00°
Space group Cc (No. 9)
One atom of each set of equivalent atoms:
Li1 0.0000 0.1529 0.0000
Li2 0.1180 0.3293 0.7145
Li3 0.3668 0.3464 0.0814
Li4 0.4455 0.2095 0.8036
Cd1 0.2554 0.1682 0.3748
Se1 0.0738 0.0033 0.3022
Se2 0.2956 0.4840 0.7771
Se3 0.4394 0.0037 0.0525

Properties
Formation energy (no corrections) ... -1.01 eV per atom
Uncorrected energy ... -3.385 eV per atom



VASP calculation (GGA-PBE) on crystalline TlCo3Rh at its relaxed geometry.

a = 4.6808 Å, b = 4.6808 Å, c = 4.6808 Å
α = 90.00°, β = 90.00°, γ = 90.00°
Space group Pm-3m (No. 221)
One atom of each set of equivalent atoms:
Tl1 0.0000 0.0000 0.0000
Co1 0.0000 0.0000 0.5000
Rh1 0.5000 0.5000 0.5000

Properties
Excess energy over the best structure of this formula in the dataset ... 0.835 eV/atom
Uncorrected energy ... -4.221 eV per atom



VASP calculation (GGA-PBE) on crystalline Mg2InW at its relaxed geometry.

a = 3.0506 Å, b = 3.0506 Å, c = 29.2568 Å
α = 90.00°, β = 90.00°, γ = 120.00°
Space group R-3m (No. 166, hexagonal axes)
One atom of each set of equivalent atoms:
Mg1 0.0000 0.0000 0.2462
In1 0.0000 0.0000 0.0000
W1 0.0000 0.0000 0.5000

Properties
Uncorrected energy ... -4.369 eV per atom



VASP calculation (GGA-PBE) on crystalline BaCoAu3 at its relaxed geometry.

a = 4.9872 Å, b = 4.9872 Å, c = 4.9872 Å
α = 90.00°, β = 90.00°, γ = 90.00°
Space group Pm-3m (No. 221)
One atom of each set of equivalent atoms:
Ba1 0.0000 0.0000 0.0000
Co1 0.5000 0.5000 0.5000
Au1 0.0000 0.5000 0.5000

Properties
Excess energy over the best structure of this formula in the dataset ... 0.000 eV/atom
Uncorrected energy ... -3.928 eV per atom